(1)
PBE LiMg6Pt2, relaxed; SG = No. 164; final energy = -3.1347 eV per atom; energy relative to the elements = -0.517 eV per atom
1.0
4.619 0.000 0.000
-2.309 3.957 -0.607
0.000 1.294 8.464
Li Mg Pt
1 6 2
direct
0.000 0.000 0.500
0.333 0.667 0.940
0.667 0.333 0.060
0.000 0.999 0.194
0.667 0.333 0.404
0.000 0.001 0.806
0.333 0.667 0.596
0.667 0.334 0.733
0.333 0.666 0.267

(2)
PBE LiMgPt, relaxed; SG = No. 216; final energy = -3.6227 eV per atom; distance to the lowest polymorph of the same formula = 58 kJ/mol of formula units; energy relative to the elements = -0.440 eV per atom
1.0
4.330 0.000 0.000
2.165 3.750 0.000
2.165 1.250 3.535
Li Mg Pt
1 1 1
direct
0.000 0.000 0.000
0.500 0.500 0.500
0.750 0.750 0.750

(3)
PBE Li2MgPt, relaxed; SG = No. 122; final energy = -3.1672 eV per atom; energy relative to the elements = -0.301 eV per atom
1.0
-0.248 0.850 -3.667
-2.787 -2.512 -0.394
-7.940 5.981 -0.018
Mg Pt Li
2 2 4
direct
0.500 0.500 0.000
0.250 0.750 0.500
0.000 0.000 0.000
0.750 0.250 0.500
0.659 0.125 0.250
0.091 0.625 0.250
0.375 0.341 0.750
0.875 0.909 0.750